# 1
The following is a DFT calculation (PBE) of CeMgPb2 after structural relaxation.

Computed properties:
ΔE_f, meV/atom: -109

```
data_CeMgPb2
_chemical_formula_sum 'Ce3 Mg3 Pb6'
_symmetry_space_group_name_H-M 'R 3 m'
_symmetry_Int_Tables_number 160
_symmetry_space_group_name_Hall 'R 3 -2"'
_cell_length_a 4.6509
_cell_length_b 4.6509
_cell_length_c 20.2606
_cell_angle_alpha 90.00
_cell_angle_beta 90.00
_cell_angle_gamma 120.00
loop_
_atom_site_label
_atom_site_fract_x
_atom_site_fract_y
_atom_site_fract_z
_atom_site_occupancy
Ce1 0.0000 0.0000 0.0000 1
Mg1 0.0000 0.0000 0.1793 1
Pb1 0.0000 0.0000 0.4282 1
Pb2 0.0000 0.0000 0.5824 1
```

=====

# 2
The following is a DFT calculation (PBE) of CsAl3Zn after structural relaxation.

Computed properties:
Energy above the lowest structure with this stoichiometry, meV per atom: 1220.4
ΔE_f, meV/atom: 1770

```
data_CsAl3Zn
_chemical_formula_sum 'Cs1 Al3 Zn1'
_symmetry_space_group_name_H-M 'P m -3 m'
_symmetry_Int_Tables_number 221
_symmetry_space_group_name_Hall '-P 4 2 3'
_cell_length_a 6.415
_cell_length_b 6.415
_cell_length_c 6.415
_cell_angle_alpha 90.00
_cell_angle_beta 90.00
_cell_angle_gamma 90.00
loop_
_atom_site_label
_atom_site_fract_x
_atom_site_fract_y
_atom_site_fract_z
_atom_site_occupancy
Cs1 0.000 0.000 0.000 1
Al1 0.000 0.000 0.500 1
Zn1 0.500 0.500 0.500 1
```

=====

# 3
The following is a DFT calculation (PBE) of KCuTeS2 after structural relaxation.

Computed properties:
E_form (uncorrected), eV per atom: -0.286

```
data_KCuTeS2
_chemical_formula_sum 'K4 Cu4 Te4 S8'
_symmetry_space_group_name_H-M 'C m m e'
_symmetry_Int_Tables_number 67
_symmetry_space_group_name_Hall '-C 2a 2'
_cell_length_a 8.655
_cell_length_b 14.956
_cell_length_c 4.590
_cell_angle_alpha 90.00
_cell_angle_beta 90.00
_cell_angle_gamma 90.00
loop_
_atom_site_label
_atom_site_fract_x
_atom_site_fract_y
_atom_site_fract_z
_atom_site_occupancy
K1 0.000 0.250 0.184 1
Cu1 0.000 0.000 0.000 1
Te1 0.250 0.000 0.500 1
S1 0.000 0.106 0.674 1
```

=====

# 4
The following is a DFT calculation (PBE) of Tl2V2Te6Au after structural relaxation.

Computed properties:
E_form (uncorrected), eV per atom: -0.191

```
data_Tl2V2Te6Au
_chemical_formula_sum 'Tl4 V4 Te12 Au2'
_symmetry_space_group_name_H-M 'C 1 2/m 1'
_symmetry_Int_Tables_number 12
_cell_length_a 6.894
_cell_length_b 12.404
_cell_length_c 8.263
_cell_angle_alpha 90.00
_cell_angle_beta 107.64
_cell_angle_gamma 90.00
loop_
_symmetry_equiv_pos_as_xyz
'x,y,z'
'-x,-y,-z'
'-x,y,-z'
'x,-y,z'
'x+1/2,y+1/2,z'
'-x+1/2,-y+1/2,-z'
'-x+1/2,y+1/2,-z'
'x+1/2,-y+1/2,z'
loop_
_atom_site_label
_atom_site_fract_x
_atom_site_fract_y
_atom_site_fract_z
_atom_site_occupancy
Tl1 0.000 0.152 0.000 1
V1 0.000 0.315 0.500 1
Te1 0.216 0.500 0.670 1
Te2 0.245 0.327 0.293 1
Au1 0.000 0.000 0.500 1
```